1.
Compound: Ho2AlRe3
Source: Alexandria via LeMat-Bulk
Functional: PBE
Structure: relaxed

Crystal system: trigonal
Energy of formation: -0.33 eV/atom
Spin magnetization: 0.00 μB/atom
SG: R-3m, No. 166
Raw total energy: -52.21 eV for the cell shown

Lattice parameters (Å, degrees): 5.462 5.462 5.462 58.58 58.58 58.58
Atoms (fractional coordinates):
Ho  0.122  0.122  0.122
Ho  0.878  0.878  0.878
Al  0.500  0.500  0.500
Re  0.000  0.500  0.500
Re  0.500  0.000  0.500
Re  0.500  0.500  0.000

***

2.
Compound: HoAl11Re
Source: Alexandria via LeMat-Bulk
Functional: PBE
Structure: relaxed

Crystal system: monoclinic
Energy of formation: -0.19 eV/atom
Spin magnetization: 0.00 μB/atom
SG: C2/m, No. 12
Raw total energy: -60.70 eV for the cell shown

Lattice parameters (Å, degrees): 6.883 6.883 7.081 98.03 98.03 134.92
Atoms (fractional coordinates):
Ho  0.000  0.000  0.000
Al  0.000  0.000  0.500
Al  0.000  0.500  0.000
Al  0.018  0.364  0.359
Al  0.286  0.501  0.780
Al  0.364  0.018  0.359
Al  0.499  0.714  0.220
Al  0.500  0.000  0.000
Al  0.501  0.286  0.780
Al  0.636  0.982  0.641
Al  0.714  0.499  0.220
Al  0.982  0.636  0.641
Re  0.500  0.500  0.500

***

3.
Compound: HoZrAlRe
Source: Alexandria via LeMat-Bulk
Functional: PBE
Structure: relaxed

Crystal system: cubic
Energy of formation: -0.18 eV/atom
Spin magnetization: 0.00 μB/atom
SG: F-43m, No. 216
Raw total energy: -30.02 eV for the cell shown

Lattice parameters (Å, degrees): 4.831 4.831 4.831 60.00 60.00 60.00
Atoms (fractional coordinates):
Ho  0.000  0.000  0.000
Zr  0.500  0.500  0.500
Al  0.250  0.250  0.250
Re  0.750  0.750  0.750

***

4.
Compound: Ho8AlRh2
Source: Alexandria via LeMat-Bulk
Functional: PBE
Structure: relaxed

Crystal system: monoclinic
Energy of formation: -0.35 eV/atom
Spin magnetization: 0.00 μB/atom
SG: C2/m, No. 12
Raw total energy: -58.91 eV for the cell shown

Lattice parameters (Å, degrees): 7.864 7.864 5.384 97.91 97.91 113.47
Atoms (fractional coordinates):
Ho  0.072  0.327  0.577
Ho  0.243  0.757  0.000
Ho  0.327  0.072  0.577
Ho  0.382  0.382  0.192
Ho  0.618  0.618  0.808
Ho  0.673  0.928  0.423
Ho  0.757  0.243  0.000
Ho  0.928  0.673  0.423
Al  0.000  0.000  0.000
Rh  0.307  0.693  0.500
Rh  0.693  0.307  0.500

***

5.
Compound: HoAlRh
Source: Alexandria via LeMat-Bulk
Functional: PBE
Structure: relaxed

Crystal system: monoclinic
Energy of formation: -0.92 eV/atom
Spin magnetization: 0.00 μB/atom
SG: P2_1/m, No. 11
Raw total energy: -110.55 eV for the cell shown

Lattice parameters (Å, degrees): 6.952 4.143 11.930 90.00 90.99 90.00
Atoms (fractional coordinates):
Ho  0.030  0.250  0.124
Ho  0.153  0.250  0.418
Ho  0.465  0.750  0.788
Ho  0.535  0.250  0.212
Ho  0.847  0.750  0.582
Ho  0.970  0.750  0.876
Al  0.139  0.250  0.700
Al  0.360  0.750  0.042
Al  0.495  0.750  0.417
Al  0.505  0.250  0.583
Al  0.640  0.250  0.958
Al  0.861  0.750  0.300
Rh  0.237  0.750  0.250
Rh  0.267  0.250  0.923
Rh  0.269  0.750  0.588
Rh  0.731  0.250  0.412
Rh  0.733  0.750  0.077
Rh  0.763  0.250  0.750

***

6.
Compound: HoAlRh
Source: Alexandria via LeMat-Bulk
Functional: PBE
Structure: relaxed

Crystal system: orthorhombic
Energy of formation: -0.94 eV/atom
Spin magnetization: 0.00 μB/atom
SG: Pnma, No. 62
Raw total energy: -73.95 eV for the cell shown

Lattice parameters (Å, degrees): 6.847 4.202 7.944 90.00 90.00 90.00
Atoms (fractional coordinates):
Ho  0.036  0.250  0.180
Ho  0.464  0.750  0.680
Ho  0.536  0.250  0.320
Ho  0.964  0.750  0.820
Al  0.138  0.250  0.561
Al  0.362  0.750  0.061
Al  0.638  0.250  0.939
Al  0.862  0.750  0.439
Rh  0.235  0.750  0.379
Rh  0.265  0.250  0.879
Rh  0.735  0.750  0.121
Rh  0.765  0.250  0.621

***

7.
Compound: Ho7Al2Rh2
Source: Alexandria via LeMat-Bulk
Functional: PBE
Structure: relaxed

Crystal system: orthorhombic
Energy of formation: -0.37 eV/atom
Spin magnetization: 0.00 μB/atom
SG: Cmmm, No. 65
Raw total energy: -58.28 eV for the cell shown

Lattice parameters (Å, degrees): 6.679 6.679 6.968 90.00 90.00 107.87
Atoms (fractional coordinates):
Ho  0.000  0.000  0.000
Ho  0.000  0.500  0.259
Ho  0.000  0.500  0.741
Ho  0.500  0.000  0.259
Ho  0.500  0.000  0.741
Ho  0.500  0.500  0.252
Ho  0.500  0.500  0.748
Al  0.168  0.168  0.500
Al  0.832  0.832  0.500
Rh  0.291  0.709  0.000
Rh  0.709  0.291  0.000

***

8.
Compound: Ho2Al8Rh
Source: Alexandria via LeMat-Bulk
Functional: PBE
Structure: relaxed

Crystal system: tetragonal
Energy of formation: -0.55 eV/atom
Spin magnetization: 0.00 μB/atom
SG: P4/mmm, No. 123
Raw total energy: -52.45 eV for the cell shown

Lattice parameters (Å, degrees): 4.269 4.269 11.150 90.00 90.00 90.00
Atoms (fractional coordinates):
Ho  0.000  0.000  0.190
Ho  0.000  0.000  0.810
Al  0.000  0.500  0.000
Al  0.000  0.500  0.379
Al  0.000  0.500  0.621
Al  0.500  0.000  0.000
Al  0.500  0.000  0.379
Al  0.500  0.000  0.621
Al  0.500  0.500  0.193
Al  0.500  0.500  0.807
Rh  0.000  0.000  0.500

***

9.
Compound: HoAlRh2
Source: Alexandria via LeMat-Bulk
Functional: PBE
Structure: relaxed

Crystal system: tetragonal
Energy of formation: -0.93 eV/atom
Spin magnetization: 0.00 μB/atom
SG: P4/mmm, No. 123
Raw total energy: -26.73 eV for the cell shown

Lattice parameters (Å, degrees): 4.427 4.427 3.392 90.00 90.00 90.00
Atoms (fractional coordinates):
Ho  0.000  0.000  0.000
Al  0.500  0.500  0.000
Rh  0.000  0.500  0.500
Rh  0.500  0.000  0.500

***

10.
Compound: Ho12Al3Rh5
Source: Alexandria via LeMat-Bulk
Functional: PBE
Structure: relaxed

Crystal system: cubic
Energy of formation: -0.18 eV/atom
Spin magnetization: 0.00 μB/atom
SG: Ia-3d, No. 230
Raw total energy: -426.45 eV for the cell shown

Lattice parameters (Å, degrees): 14.480 14.480 14.480 109.47 109.47 109.47
Atoms (fractional coordinates):
Ho  0.037  0.211  0.124
Ho  0.037  0.326  0.913
Ho  0.087  0.624  0.413
Ho  0.087  0.711  0.674
Ho  0.087  0.876  0.413
Ho  0.087  0.963  0.674
Ho  0.124  0.037  0.211
Ho  0.124  0.587  0.913
Ho  0.174  0.211  0.587
Ho  0.174  0.463  0.587
Ho  0.211  0.124  0.037
Ho  0.211  0.587  0.174
Ho  0.289  0.326  0.913
Ho  0.289  0.463  0.376
Ho  0.326  0.913  0.037
Ho  0.326  0.913  0.289
Ho  0.376  0.289  0.463
Ho  0.376  0.587  0.913
Ho  0.413  0.087  0.624
Ho  0.413  0.087  0.876
Ho  0.413  0.826  0.537
Ho  0.413  0.826  0.789
Ho  0.463  0.376  0.289
Ho  0.463  0.587  0.174
Ho  0.537  0.413  0.826
Ho  0.537  0.624  0.711
Ho  0.587  0.174  0.211
Ho  0.587  0.174  0.463
Ho  0.587  0.913  0.124
Ho  0.587  0.913  0.376
Ho  0.624  0.413  0.087
Ho  0.624  0.711  0.537
Ho  0.674  0.087  0.711
Ho  0.674  0.087  0.963
Ho  0.711  0.537  0.624
Ho  0.711  0.674  0.087
Ho  0.789  0.413  0.826
Ho  0.789  0.876  0.963
Ho  0.826  0.537  0.413
Ho  0.826  0.789  0.413
Ho  0.876  0.413  0.087
Ho  0.876  0.963  0.789
Ho  0.913  0.037  0.326
Ho  0.913  0.124  0.587
Ho  0.913  0.289  0.326
Ho  0.913  0.376  0.587
Ho  0.963  0.674  0.087
Ho  0.963  0.789  0.876
Al  0.125  0.250  0.375
Al  0.125  0.375  0.750
Al  0.250  0.375  0.125
Al  0.250  0.875  0.625
Al  0.375  0.125  0.250
Al  0.375  0.750  0.125
Al  0.625  0.250  0.875
Al  0.625  0.875  0.750
Al  0.750  0.125  0.375
Al  0.750  0.625  0.875
Al  0.875  0.625  0.250
Al  0.875  0.750  0.625
Rh  0.000  0.000  0.000
Rh  0.000  0.000  0.500
Rh  0.000  0.500  0.000
Rh  0.000  0.500  0.500
Rh  0.125  0.750  0.875
Rh  0.125  0.875  0.250
Rh  0.250  0.125  0.875
Rh  0.250  0.625  0.375
Rh  0.375  0.250  0.625
Rh  0.375  0.625  0.750
Rh  0.500  0.000  0.000
Rh  0.500  0.000  0.500
Rh  0.500  0.500  0.000
Rh  0.500  0.500  0.500
Rh  0.625  0.375  0.250
Rh  0.625  0.750  0.375
Rh  0.750  0.375  0.625
Rh  0.750  0.875  0.125
Rh  0.875  0.125  0.750
Rh  0.875  0.250  0.125

***

11.
Compound: HoAl2Rh
Source: Alexandria via LeMat-Bulk
Functional: PBE
Structure: relaxed

Crystal system: tetragonal
Energy of formation: -0.66 eV/atom
Spin magnetization: 0.00 μB/atom
SG: P4/mmm, No. 123
Raw total energy: -22.07 eV for the cell shown

Lattice parameters (Å, degrees): 3.125 3.125 7.308 90.00 90.00 90.00
Atoms (fractional coordinates):
Ho  0.000  0.000  0.000
Al  0.500  0.500  0.308
Al  0.500  0.500  0.692
Rh  0.000  0.000  0.500

***

12.
Compound: HoAlRh2
Source: Alexandria via LeMat-Bulk
Functional: PBE
Structure: relaxed

Crystal system: tetragonal
Energy of formation: -0.90 eV/atom
Spin magnetization: 0.00 μB/atom
SG: P4/mmm, No. 123
Raw total energy: -26.64 eV for the cell shown

Lattice parameters (Å, degrees): 3.235 3.235 6.372 90.00 90.00 90.00
Atoms (fractional coordinates):
Ho  0.000  0.000  0.000
Al  0.000  0.000  0.500
Rh  0.500  0.500  0.280
Rh  0.500  0.500  0.720

***

13.
Compound: HoAlRh
Source: Alexandria via LeMat-Bulk
Functional: PBE
Structure: relaxed

Crystal system: tetragonal
Energy of formation: -0.73 eV/atom
Spin magnetization: 0.00 μB/atom
SG: I4mm, No. 107
Raw total energy: -17.87 eV for the cell shown

Lattice parameters (Å, degrees): 5.910 5.910 5.910 148.44 148.44 45.23
Atoms (fractional coordinates):
Ho  0.000  0.000  0.000
Al  0.289  0.289  0.000
Rh  0.676  0.676  0.000

***

14.
Compound: Ho2Al5Rh
Source: Alexandria via LeMat-Bulk
Functional: PBE
Structure: relaxed

Crystal system: tetragonal
Energy of formation: -0.44 eV/atom
Spin magnetization: 0.00 μB/atom
SG: I4mm, No. 107
Raw total energy: -38.76 eV for the cell shown

Lattice parameters (Å, degrees): 5.970 5.970 5.970 116.84 116.84 95.56
Atoms (fractional coordinates):
Ho  0.000  0.500  0.500
Ho  0.500  0.000  0.500
Al  0.022  0.022  0.000
Al  0.534  0.534  0.560
Al  0.534  0.974  0.000
Al  0.974  0.534  0.000
Al  0.974  0.974  0.440
Rh  0.329  0.329  0.000

***

15.
Compound: Ho4Al3Rh
Source: Alexandria via LeMat-Bulk
Functional: PBE
Structure: relaxed

Crystal system: tetragonal
Energy of formation: -0.53 eV/atom
Spin magnetization: 0.00 μB/atom
SG: P4/mmm, No. 123
Raw total energy: -41.15 eV for the cell shown

Lattice parameters (Å, degrees): 3.540 3.540 14.162 90.00 90.00 90.00
Atoms (fractional coordinates):
Ho  0.000  0.000  0.114
Ho  0.000  0.000  0.371
Ho  0.000  0.000  0.629
Ho  0.000  0.000  0.886
Al  0.500  0.500  0.243
Al  0.500  0.500  0.500
Al  0.500  0.500  0.757
Rh  0.500  0.500  0.000

***

16.
Compound: HoAl11Rh
Source: Alexandria via LeMat-Bulk
Functional: PBE
Structure: relaxed

Crystal system: monoclinic
Energy of formation: -0.28 eV/atom
Spin magnetization: 0.00 μB/atom
SG: C2/m, No. 12
Raw total energy: -56.74 eV for the cell shown

Lattice parameters (Å, degrees): 6.834 6.834 7.165 96.98 96.98 135.60
Atoms (fractional coordinates):
Ho  0.000  0.000  0.000
Al  0.000  0.000  0.500
Al  0.000  0.500  0.000
Al  0.005  0.356  0.358
Al  0.283  0.499  0.776
Al  0.356  0.005  0.358
Al  0.499  0.283  0.776
Al  0.500  0.000  0.000
Al  0.501  0.717  0.224
Al  0.644  0.995  0.642
Al  0.717  0.501  0.224
Al  0.995  0.644  0.642
Rh  0.500  0.500  0.500

***

17.
Compound: HoAlRh
Source: Alexandria via LeMat-Bulk
Functional: PBE
Structure: relaxed

Crystal system: hexagonal
Energy of formation: -0.74 eV/atom
Spin magnetization: 0.00 μB/atom
SG: P-6m2, No. 187
Raw total energy: -17.90 eV for the cell shown

Lattice parameters (Å, degrees): 4.358 4.358 3.625 90.00 90.00 120.00
Atoms (fractional coordinates):
Ho  0.000  0.000  0.000
Al  0.667  0.333  0.500
Rh  0.333  0.667  0.500

***

18.
Compound: Ho3Al9Rh2
Source: Alexandria via LeMat-Bulk
Functional: PBE
Structure: relaxed

Crystal system: orthorhombic
Energy of formation: -0.67 eV/atom
Spin magnetization: 0.00 μB/atom
SG: Immm, No. 71
Raw total energy: -71.47 eV for the cell shown

Lattice parameters (Å, degrees): 8.114 8.114 8.114 149.21 106.86 81.42
Atoms (fractional coordinates):
Ho  0.000  0.000  0.000
Ho  0.296  0.296  0.000
Ho  0.704  0.704  0.000
Al  0.012  0.650  0.362
Al  0.153  0.869  0.284
Al  0.288  0.650  0.638
Al  0.414  0.131  0.284
Al  0.500  0.000  0.500
Al  0.586  0.869  0.716
Al  0.712  0.350  0.362
Al  0.847  0.131  0.716
Al  0.988  0.350  0.638
Rh  0.323  0.500  0.823
Rh  0.677  0.500  0.177

***

19.
Compound: Ho3Al3Rh2
Source: Alexandria via LeMat-Bulk
Functional: PBE
Structure: relaxed

Crystal system: orthorhombic
Energy of formation: -0.75 eV/atom
Spin magnetization: 0.00 μB/atom
SG: Pnma, No. 62
Raw total energy: -182.59 eV for the cell shown

Lattice parameters (Å, degrees): 7.736 15.250 5.637 90.00 90.00 90.00
Atoms (fractional coordinates):
Ho  0.033  0.110  0.104
Ho  0.033  0.390  0.104
Ho  0.168  0.250  0.623
Ho  0.332  0.750  0.123
Ho  0.467  0.610  0.604
Ho  0.467  0.890  0.604
Ho  0.533  0.110  0.396
Ho  0.533  0.390  0.396
Ho  0.668  0.250  0.877
Ho  0.832  0.750  0.377
Ho  0.967  0.610  0.896
Ho  0.967  0.890  0.896
Al  0.168  0.034  0.594
Al  0.168  0.466  0.594
Al  0.175  0.750  0.618
Al  0.325  0.250  0.118
Al  0.332  0.534  0.094
Al  0.332  0.966  0.094
Al  0.668  0.034  0.906
Al  0.668  0.466  0.906
Al  0.675  0.750  0.882
Al  0.825  0.250  0.382
Al  0.832  0.534  0.406
Al  0.832  0.966  0.406
Rh  0.123  0.609  0.369
Rh  0.123  0.891  0.369
Rh  0.377  0.109  0.869
Rh  0.377  0.391  0.869
Rh  0.623  0.609  0.131
Rh  0.623  0.891  0.131
Rh  0.877  0.109  0.631
Rh  0.877  0.391  0.631